No. 1
## Cd4Pt3Au (GGA-PBE)

Data for a relaxed Cd4Pt3Au crystal.

Calculated values
Energy relative to the elements ... -279 meV per atom

Cell and atoms, written as POSCAR:
```
Cd4Pt3Au
1.0
4.0647 0.0000 -1.0972
-0.2918 4.0583 -1.0808
0.1470 0.1112 8.6222
Cd Pt Au
4 3 1
direct
0.3717 0.3719 0.7434 Cd
0.6283 0.6281 0.2566 Cd
0.8717 0.8715 0.7434 Cd
0.1283 0.1285 0.2566 Cd
0.2494 0.7497 0.4988 Pt
0.7506 0.2503 0.5012 Pt
0.0000 0.5000 0.0000 Pt
0.5000 0.0000 0.0000 Au
```


No. 2
## Er11In9Au4 (GGA-PBE)

Data for a relaxed Er11In9Au4 crystal.

Calculated values
Energy relative to the elements ... -621 meV per atom

Cell and atoms, written as POSCAR:
```
Er11In9Au4
1.0
3.6868 0.0000 0.0000
0.0000 12.1928 -5.1896
0.0000 0.0195 13.2512
Er In Au
11 9 4
direct
0.0000 0.6300 0.3700 Er
0.0000 0.0674 0.4125 Er
0.0000 0.8398 0.1602 Er
0.0000 0.6966 0.6966 Er
0.0000 0.3700 0.6300 Er
0.0000 0.0000 0.0000 Er
0.0000 0.5875 0.9326 Er
0.0000 0.4125 0.0674 Er
0.0000 0.1602 0.8398 Er
0.0000 0.3034 0.3034 Er
0.0000 0.9326 0.5875 Er
0.5000 0.9333 0.7870 In
0.5000 0.3664 0.8459 In
0.5000 0.0667 0.2130 In
0.5000 0.7870 0.9333 In
0.5000 0.8459 0.3664 In
0.5000 0.6336 0.1541 In
0.5000 0.5000 0.5000 In
0.5000 0.2130 0.0667 In
0.5000 0.1541 0.6336 In
0.5000 0.5514 0.7518 Au
0.5000 0.4486 0.2482 Au
0.5000 0.7518 0.5514 Au
0.5000 0.2482 0.4486 Au
```


No. 3
## PrInSn2Br8 (GGA-PBE)

Data for a relaxed PrInSn2Br8 crystal.

Calculated values
Raw formation energy ... -1.0962 eV/atom

Cell and atoms, written as POSCAR:
```
PrInSn2Br8
1.0
7.3011 0.0311 0.0018
0.0846 6.9325 -0.0032
0.0147 0.0167 9.1577
In Pr Sn Br
1 1 2 8
direct
0.0000 0.0000 0.5000 In
0.0000 0.0000 0.0000 Pr
0.4997 0.4997 0.7443 Sn
0.5003 0.5003 0.2557 Sn
0.8360 0.2432 0.7713 Br
0.1637 0.7565 0.7713 Br
0.3245 0.2498 0.9992 Br
0.6755 0.7502 0.0008 Br
0.1640 0.7568 0.2287 Br
0.6410 0.7223 0.4989 Br
0.3590 0.2777 0.5011 Br
0.8363 0.2435 0.2287 Br
```